The following is a DFT calculation (GGA-PBE) of TaMoIr6 after structural relaxation.

Cell: 5.534 5.534 3.900 Å, 90.00 90.00 90.00°
Sites, in units of the cell vectors:
Ta  0.000  0.000  0.000
Mo  0.500  0.500  0.000
Ir  0.000  0.500  0.000
Ir  0.254  0.254  0.500
Ir  0.254  0.746  0.500
Ir  0.500  0.000  0.000
Ir  0.746  0.254  0.500
Ir  0.746  0.746  0.500

Results
Symmetry = P4/mmm (123)

***

The following is a DFT calculation (GGA-PBE) of CuHgGe2 after structural relaxation.

Cell: 8.818 8.818 8.818 Å, 150.89 150.89 41.64°
Sites, in units of the cell vectors:
Cu  0.000  0.000  0.000
Cu  0.750  0.250  0.500
Hg  0.250  0.750  0.500
Hg  0.500  0.500  0.000
Ge  0.055  0.625  0.930
Ge  0.375  0.305  0.430
Ge  0.695  0.125  0.070
Ge  0.875  0.945  0.570

Results
Symmetry = I-42d (122)

***

In the order shown, the computed calculated formation energy values come out to -363 101 kJ/mol of formula units.
In the order shown, the computed electronic total energy values come out to -9.9513 -3.1455 eV per atom.
In the order shown, the computed M_tot values come out to 0.0 0.0 Bohr magnetons per cell.